PrErTc4 | GGA-PBE | optimized geometry

**Raw total energy**: -8.491 eV per atom
**Space group**: No. 216
**Energy of formation**: -0.023 eV/atom

Structure (POSCAR):
```
PrErTc4
1.0
5.450 0.000 0.000
2.725 4.720 0.000
2.725 1.573 4.450
Er Tc Pr
1 4 1
Direct
0.000 0.000 0.000 Er
0.124 0.625 0.625 Tc
0.625 0.625 0.124 Tc
0.625 0.124 0.625 Tc
0.625 0.625 0.625 Tc
0.250 0.250 0.250 Pr
```

=====

PrErZnTc | GGA-PBE | optimized geometry

**Raw total energy**: -5.308 eV per atom
**Space group**: No. 216
**Energy of formation**: -0.063 eV/atom

Structure (POSCAR):
```
PrErZnTc
1.0
5.007 0.000 0.000
2.503 4.336 0.000
2.503 1.445 4.088
Er Pr Zn Tc
1 1 1 1
Direct
0.500 0.500 0.500 Er
0.000 0.000 0.000 Pr
0.750 0.750 0.750 Zn
0.250 0.250 0.250 Tc
```

=====

PrEr2Te | GGA-PBE | optimized geometry

**Raw total energy**: -4.777 eV per atom
**Uncorrected formation energy**: -0.515 eV/atom
**Space group**: No. 160
**Energy above the lowest structure with this stoichiometry**: 52 kJ/mol of formula units

Structure (POSCAR):
```
PrEr2Te
1.0
-1.520 0.485 -3.536
-3.513 -1.430 -0.816
-5.837 8.215 1.505
Pr Te Er
1 1 2
Direct
0.500 0.500 0.500 Pr
0.667 0.667 0.000 Te
0.263 0.263 0.211 Er
0.070 0.070 0.789 Er
```

=====

PrEr5Te6 | GGA-PBE | optimized geometry

**Raw total energy**: -5.122 eV per atom
**Uncorrected formation energy**: -1.252 eV/atom
**Space group**: No. 12

Structure (POSCAR):
```
PrEr5Te6
1.0
-6.286 3.959 1.127
-5.264 -2.218 -4.966
-4.715 -5.619 1.739
Te Er Pr
6 5 1
Direct
0.261 0.913 0.652 Te
0.739 0.435 0.652 Te
0.754 0.734 0.000 Te
0.261 0.565 0.348 Te
0.739 0.087 0.348 Te
0.246 0.266 0.000 Te
0.500 0.848 0.304 Er
0.500 0.152 0.696 Er
0.000 0.667 0.665 Er
0.000 0.333 0.335 Er
0.500 0.500 0.000 Er
0.000 0.000 0.000 Pr
```

=====

Pr2ErTe4 | GGA-PBE | optimized geometry

**Raw total energy**: -5.238 eV per atom
**Uncorrected formation energy**: -1.426 eV/atom
**Space group**: No. 74
**Energy above the lowest structure with this stoichiometry**: 0 kJ/mol of formula units

Structure (POSCAR):
```
Pr2ErTe4
1.0
7.691 0.000 4.433
2.648 7.232 4.293
0.040 0.014 8.818
Te Pr Er
8 4 2
Direct
0.253 0.255 0.755 Te
0.747 0.745 0.245 Te
0.264 0.745 0.245 Te
0.262 0.249 0.228 Te
0.736 0.255 0.755 Te
0.738 0.272 0.251 Te
0.262 0.728 0.749 Te
0.738 0.751 0.772 Te
0.500 0.000 0.500 Pr
0.000 0.500 0.500 Pr
0.000 0.000 0.000 Pr
0.000 0.000 0.500 Pr
0.500 0.500 0.000 Er
0.000 0.500 0.000 Er
```

=====

PrEr3Te2 | GGA-PBE | optimized geometry

**Raw total energy**: -4.977 eV per atom
**Uncorrected formation energy**: -0.852 eV/atom
**Space group**: No. 12

Structure (POSCAR):
```
PrEr3Te2
1.0
4.143 0.000 0.000
-2.072 8.246 -0.092
0.000 -3.626 10.746
Er Pr Te
6 2 4
Direct
0.716 0.432 0.379 Er
0.060 0.120 0.405 Er
0.940 0.880 0.595 Er
0.624 0.247 0.661 Er
0.376 0.753 0.339 Er
0.284 0.568 0.621 Er
0.880 0.760 0.956 Pr
0.120 0.240 0.044 Pr
0.227 0.455 0.852 Te
0.483 0.967 0.825 Te
0.773 0.545 0.148 Te
0.517 0.033 0.175 Te
```

=====

PrErTe | GGA-PBE | optimized geometry

**Raw total energy**: -4.934 eV per atom
**Uncorrected formation energy**: -0.772 eV/atom
**Space group**: No. 107
**Energy above the lowest structure with this stoichiometry**: 0 kJ/mol of formula units

Structure (POSCAR):
```
PrErTe
1.0
-2.765 -0.932 -2.639
2.713 -1.804 -2.205
-1.006 -3.689 5.290
Er Pr Te
1 1 1
Direct
0.648 0.648 0.297 Er
0.339 0.339 0.677 Pr
0.013 0.013 0.026 Te
```

=====

PrErTe | GGA-PBE | optimized geometry

**Raw total energy**: -4.724 eV per atom
**Uncorrected formation energy**: -0.563 eV/atom
**Space group**: No. 12
**Energy above the lowest structure with this stoichiometry**: 61 kJ/mol of formula units

Structure (POSCAR):
```
PrErTe
1.0
5.163 -0.331 -0.234
0.324 5.163 -0.234
0.353 0.311 7.156
Pr Te Er
2 2 2
Direct
0.250 0.750 0.000 Pr
0.750 0.250 0.000 Pr
0.750 0.750 0.722 Te
0.250 0.250 0.278 Te
0.750 0.250 0.500 Er
0.250 0.750 0.500 Er
```

=====

PrEr2Te4 | GGA-PBE | optimized geometry

**Raw total energy**: -5.154 eV per atom
**Uncorrected formation energy**: -1.373 eV/atom
**Space group**: No. 63
**Energy above the lowest structure with this stoichiometry**: 5 kJ/mol of formula units

Structure (POSCAR):
```
PrEr2Te4
1.0
-3.221 -2.762 0.677
4.344 -3.015 -5.273
8.076 -6.830 10.559
Te Er Pr
8 4 2
Direct
0.225 0.451 0.619 Te
0.775 0.549 0.119 Te
0.775 0.549 0.381 Te
0.500 0.000 0.000 Te
0.957 0.915 0.750 Te
0.500 0.000 0.500 Te
0.225 0.451 0.881 Te
0.043 0.085 0.250 Te
0.131 0.263 0.068 Er
0.131 0.263 0.432 Er
0.869 0.737 0.568 Er
0.869 0.737 0.932 Er
0.625 0.249 0.750 Pr
0.375 0.751 0.250 Pr
```

=====

Pr2ErTe4 | GGA-PBE | optimized geometry

**Raw total energy**: -5.165 eV per atom
**Uncorrected formation energy**: -1.352 eV/atom
**Space group**: No. 63
**Energy above the lowest structure with this stoichiometry**: 50 kJ/mol of formula units

Structure (POSCAR):
```
Pr2ErTe4
1.0
-0.202 3.430 2.559
-6.211 -4.303 1.692
8.086 -7.478 10.664
Te Pr Er
8 4 2
Direct
0.021 0.041 0.250 Te
0.216 0.432 0.627 Te
0.500 0.000 0.500 Te
0.784 0.568 0.127 Te
0.216 0.432 0.873 Te
0.500 0.000 0.000 Te
0.979 0.959 0.750 Te
0.784 0.568 0.373 Te
0.868 0.736 0.572 Pr
0.132 0.264 0.072 Pr
0.132 0.264 0.428 Pr
0.868 0.736 0.928 Pr
0.629 0.257 0.750 Er
0.371 0.743 0.250 Er
```

=====

Pr3Er2Te8 | GGA-PBE | optimized geometry

**Raw total energy**: -4.967 eV per atom
**Uncorrected formation energy**: -1.229 eV/atom
**Space group**: No. 12

Structure (POSCAR):
```
Pr3Er2Te8
1.0
7.659 0.000 0.270
0.000 8.880 0.000
-2.795 -4.440 7.265
Te Pr Er
8 3 2
Direct
0.075 0.873 0.747 Te
0.880 0.618 0.236 Te
0.583 0.120 0.745 Te
0.120 0.382 0.764 Te
0.417 0.880 0.255 Te
0.925 0.127 0.253 Te
0.583 0.624 0.745 Te
0.417 0.376 0.255 Te
0.000 0.740 0.000 Pr
0.500 0.000 0.000 Pr
0.000 0.260 0.000 Pr
0.334 0.250 0.500 Er
0.666 0.750 0.500 Er
```

=====

Pr3Er2Te5 | GGA-PBE | optimized geometry

**Raw total energy**: -5.271 eV per atom
**Uncorrected formation energy**: -1.354 eV/atom
**Space group**: No. 12

Structure (POSCAR):
```
Pr3Er2Te5
1.0
-1.930 -1.814 -3.532
-6.525 -3.238 2.470
-4.248 7.853 -4.469
Pr Te Er
3 5 2
Direct
0.096 0.116 0.692 Pr
0.500 0.500 0.500 Pr
0.904 0.884 0.308 Pr
0.209 0.197 0.385 Te
0.619 0.578 0.184 Te
0.791 0.803 0.615 Te
0.381 0.422 0.816 Te
0.000 0.000 0.000 Te
0.306 0.290 0.098 Er
0.694 0.710 0.902 Er
```

=====

PrErTe2 | GGA-PBE | optimized geometry

**Raw total energy**: -5.242 eV per atom
**Uncorrected formation energy**: -1.335 eV/atom
**Space group**: No. 166
**Energy above the lowest structure with this stoichiometry**: 11 kJ/mol of formula units

Structure (POSCAR):
```
PrErTe2
1.0
4.355 0.000 0.000
2.177 3.771 0.000
2.177 1.257 7.468
Pr Te Er
1 2 1
Direct
0.500 0.500 0.500 Pr
0.744 0.744 0.768 Te
0.256 0.256 0.232 Te
0.000 0.000 0.000 Er
```

=====

Pr2Er3Te8 | GGA-PBE | optimized geometry

**Raw total energy**: -5.001 eV per atom
**Uncorrected formation energy**: -1.279 eV/atom
**Space group**: No. 12

Structure (POSCAR):
```
Pr2Er3Te8
1.0
7.558 0.000 0.286
0.000 8.755 0.000
-2.741 -4.378 7.269
Te Er Pr
8 3 2
Direct
0.090 0.884 0.767 Te
0.409 0.869 0.233 Te
0.409 0.364 0.233 Te
0.591 0.636 0.767 Te
0.591 0.131 0.767 Te
0.917 0.618 0.237 Te
0.083 0.382 0.763 Te
0.910 0.116 0.233 Te
0.000 0.257 0.000 Er
0.000 0.743 0.000 Er
0.500 0.000 0.000 Er
0.670 0.748 0.496 Pr
0.330 0.252 0.504 Pr
```

=====

PrErTe6 | GGA-PBE | optimized geometry

**Raw total energy**: -4.458 eV per atom
**Uncorrected formation energy**: -0.934 eV/atom
**Space group**: No. 38

Structure (POSCAR):
```
PrErTe6
1.0
-2.805 3.120 1.209
-3.318 -2.801 -0.468
2.767 -5.334 12.304
Te Pr Er
6 1 1
Direct
0.076 0.000 0.153 Te
0.710 0.000 0.421 Te
0.576 0.500 0.153 Te
0.920 0.500 0.841 Te
0.295 0.500 0.590 Te
0.420 0.000 0.841 Te
0.173 0.500 0.345 Pr
0.828 0.000 0.657 Er
```

=====

Pr5ErTe6 | GGA-PBE | optimized geometry

**Raw total energy**: -5.348 eV per atom
**Uncorrected formation energy**: -1.406 eV/atom
**Space group**: No. 12

Structure (POSCAR):
```
Pr5ErTe6
1.0
7.765 0.214 0.000
2.390 7.423 0.000
1.195 3.712 6.751
Er Pr Te
1 5 6
Direct
0.000 0.000 0.000 Er
0.500 0.823 0.354 Pr
0.500 0.500 0.000 Pr
0.000 0.332 0.335 Pr
0.000 0.668 0.665 Pr
0.500 0.177 0.646 Pr
0.250 0.237 0.000 Te
0.750 0.763 0.000 Te
0.759 0.080 0.320 Te
0.241 0.599 0.320 Te
0.241 0.920 0.680 Te
0.759 0.401 0.680 Te
```

=====

PrErTe2 | GGA-PBE | optimized geometry

**Raw total energy**: -5.271 eV per atom
**Uncorrected formation energy**: -1.364 eV/atom
**Space group**: No. 160
**Energy above the lowest structure with this stoichiometry**: 0 kJ/mol of formula units

Structure (POSCAR):
```
PrErTe2
1.0
-0.651 1.413 -4.011
-3.894 -0.345 -1.797
-3.395 7.281 0.809
Te Er Pr
2 1 1
Direct
0.077 0.077 0.768 Te
0.256 0.256 0.233 Te
0.670 0.670 0.989 Er
0.497 0.497 0.510 Pr
```

=====

Pr3Er4Te8 | GGA-PBE | optimized geometry

**Raw total energy**: -5.213 eV per atom
**Uncorrected formation energy**: -1.365 eV/atom
**Space group**: No. 12

Structure (POSCAR):
```
Pr3Er4Te8
1.0
-2.489 -7.625 -3.616
8.521 2.266 0.041
-0.323 1.022 8.752
Te Er Pr
8 4 3
Direct
0.500 0.245 0.245 Te
0.500 0.755 0.755 Te
0.989 0.245 0.245 Te
0.500 0.244 0.756 Te
0.000 0.749 0.251 Te
0.500 0.756 0.244 Te
0.000 0.251 0.749 Te
0.011 0.755 0.755 Te
0.000 0.500 0.000 Er
0.000 0.000 0.500 Er
0.000 0.000 0.000 Er
0.500 0.000 0.000 Er
0.500 0.500 0.500 Pr
0.500 0.500 0.000 Pr
0.500 0.000 0.500 Pr
```

=====

Pr3Er2Te6 | GGA-PBE | optimized geometry

**Raw total energy**: -5.225 eV per atom
**Uncorrected formation energy**: -1.379 eV/atom
**Space group**: No. 166

Structure (POSCAR):
```
Pr3Er2Te6
1.0
-0.930 -4.078 -1.421
1.493 -3.510 2.228
-18.381 -2.593 12.614
Pr Er Te
3 2 6
Direct
0.723 0.723 0.830 Pr
0.000 0.000 0.000 Pr
0.277 0.277 0.170 Pr
0.449 0.449 0.653 Er
0.551 0.551 0.347 Er
0.195 0.195 0.416 Te
0.362 0.362 0.914 Te
0.638 0.638 0.086 Te
0.805 0.805 0.584 Te
0.913 0.913 0.260 Te
0.087 0.087 0.740 Te
```

=====

PrEr2Te3 | GGA-PBE | optimized geometry

**Raw total energy**: -5.048 eV per atom
**Uncorrected formation energy**: -1.159 eV/atom
**Space group**: No. 63
**Energy above the lowest structure with this stoichiometry**: 73 kJ/mol of formula units

Structure (POSCAR):
```
PrEr2Te3
1.0
-0.390 -4.236 1.502
1.027 -0.452 -7.782
10.595 -0.469 1.426
Pr Te Er
2 6 4
Direct
0.794 0.587 0.750 Pr
0.206 0.413 0.250 Pr
0.637 0.274 0.450 Te
0.363 0.726 0.550 Te
0.363 0.726 0.950 Te
0.135 0.270 0.750 Te
0.865 0.730 0.250 Te
0.637 0.274 0.050 Te
0.000 0.000 0.000 Er
0.510 0.020 0.750 Er
0.000 0.000 0.500 Er
0.490 0.980 0.250 Er
```

=====

Pr2ErTe3 | GGA-PBE | optimized geometry

**Raw total energy**: -5.045 eV per atom
**Uncorrected formation energy**: -1.121 eV/atom
**Space group**: No. 71
**Energy above the lowest structure with this stoichiometry**: 144 kJ/mol of formula units

Structure (POSCAR):
```
Pr2ErTe3
1.0
4.060 0.000 0.000
0.000 5.585 0.000
-2.030 -2.793 8.710
Pr Er Te
2 1 3
Direct
0.355 0.355 0.710 Pr
0.645 0.645 0.290 Pr
0.000 0.000 0.000 Er
0.828 0.828 0.656 Te
0.172 0.172 0.344 Te
0.000 0.500 0.000 Te
```

=====

PrEr2Te | GGA-PBE | optimized geometry

**Raw total energy**: -4.497 eV per atom
**Uncorrected formation energy**: -0.235 eV/atom
**Space group**: No. 166
**Energy above the lowest structure with this stoichiometry**: 160 kJ/mol of formula units

Structure (POSCAR):
```
PrEr2Te
1.0
3.794 0.000 0.000
1.897 3.286 0.000
1.897 1.095 10.910
Er Pr Te
2 1 1
Direct
0.104 0.104 0.688 Er
0.896 0.896 0.312 Er
0.000 0.000 0.000 Pr
0.500 0.500 0.500 Te
```

=====

PrEr2Te | GGA-PBE | optimized geometry

**Raw total energy**: -4.911 eV per atom
**Uncorrected formation energy**: -0.650 eV/atom
**Space group**: No. 63
**Energy above the lowest structure with this stoichiometry**: 0 kJ/mol of formula units

Structure (POSCAR):
```
PrEr2Te
1.0
3.981 0.001 0.000
-1.990 6.121 0.000
0.000 0.000 9.863
Pr Er Te
2 4 2
Direct
0.053 0.107 0.750 Pr
0.947 0.893 0.250 Pr
0.363 0.727 0.966 Er
0.637 0.273 0.466 Er
0.363 0.727 0.534 Er
0.637 0.273 0.034 Er
0.769 0.538 0.750 Te
0.231 0.462 0.250 Te
```

=====

| no. | total magnetization (μB/f.u.) |
| --- | --- |
| 1 | 0.0 |
| 2 | 0.0 |
| 3 | 0.0 |
| 4 | 0.0 |
| 5 | 0.0 |
| 6 | 0.0 |
| 7 | 0.0 |
| 8 | 0.0 |
| 9 | 0.0 |
| 10 | 0.0 |
| 11 | 0.0 |
| 12 | 0.0 |
| 13 | 0.0 |
| 14 | 0.0 |
| 15 | 0.0 |
| 16 | 0.0 |
| 17 | 0.0 |
| 18 | 0.0 |
| 19 | 0.0 |
| 20 | 0.0 |
| 21 | 0.3 |
| 22 | 0.5 |
| 23 | 0.0 |